## La5Sn2O12 (PBE)

Data for La5Sn2O12 after structural relaxation.

Summary:
Crystal system = monoclinic
Magnetic moment = 2.180 Bohr magnetons per cell

a = 13.159 Å, b = 6.254 Å, c = 7.791 Å
α = 90.00°, β = 107.13°, γ = 90.00°
Space group C2/m (No. 12)
One atom of each set of equivalent atoms:
1 La 0.000 0.000 0.000
2 La 0.195 0.500 0.858
3 La 0.197 0.500 0.338
4 Sn 0.000 0.244 0.500
5 O 0.000 0.000 0.316
6 O 0.002 0.500 0.319
7 O 0.156 0.248 0.076
8 O 0.165 0.266 0.584

=====

## Sr2LaSnO6 (PBE)

Data for Sr2LaSnO6 after structural relaxation.

Summary:
Crystal system = monoclinic
Magnetic moment = 2.183 Bohr magnetons per cell

a = 6.007 Å, b = 6.170 Å, c = 10.428 Å
α = 90.00°, β = 124.91°, γ = 90.00°
Space group P2_1/c (No. 14)
One atom of each set of equivalent atoms:
1 Sr 0.236 0.047 0.253
2 La 0.500 0.000 0.000
3 Sn 0.000 0.000 0.500
4 O 0.124 0.226 0.937
5 O 0.228 0.693 0.949
6 O 0.340 0.049 0.732

=====

## La2Tb4Sn3O2 (PBE)

Data for La2Tb4Sn3O2 after structural relaxation.

Summary:
Crystal system = tetragonal
Magnetic moment = 0.819 Bohr magnetons per cell

a = 4.727 Å, b = 4.727 Å, c = 25.792 Å
α = 90.00°, β = 90.00°, γ = 90.00°
Space group I4/mmm (No. 139)
One atom of each set of equivalent atoms:
1 La 0.000 0.000 0.194
2 Tb 0.000 0.500 0.081
3 Sn 0.000 0.000 0.328
4 Sn 0.000 0.000 0.500
5 O 0.000 0.000 0.093

=====

## LaSnTe2O (PBE)

Data for LaSnTe2O after structural relaxation.

Summary:
Crystal system = tetragonal
Magnetic moment = 0.000 Bohr magnetons per cell

a = 4.176 Å, b = 4.176 Å, c = 16.745 Å
α = 90.00°, β = 90.00°, γ = 90.00°
Space group P4/nmm (No. 129, origin choice 2)
One atom of each set of equivalent atoms:
1 La 0.250 0.250 0.072
2 Sn 0.250 0.250 0.652
3 Te 0.250 0.250 0.399
4 Te 0.250 0.250 0.819
5 O 0.250 0.750 0.000

=====

no.,electronic total energy (eV/atom),N(E_F) (states/eV per atom)
1,-7.66,0.88
2,-6.66,0.74
3,-6.13,0.71
4,-5.61,0.44